VASP calculation (SCAN) on a PBEsol-optimized structure of Sc2Si2Hg.

Properties
total moment = 0.00 μB/atom
crystal system = tetragonal
D(E_F) = 0.24 states/eV/atom
formation energy (no corrections) = -0.651 eV/atom

Unit cell a=3.9294 b=6.7305 c=6.7305 alpha=90.00 beta=90.00 gamma=90.00
Closest atoms and distances in Å follow each position.
Element x y z (fractional)
Si 0.0000 0.6214 0.1214  1 Si 2.31
Hg 0.0000 0.5000 0.5000  4 Si 2.68
Si 0.0000 0.8786 0.6214  1 Si 2.31
Sc 0.5000 0.6739 0.8261  6 Si 2.77-2.82
Hg 0.0000 0.0000 0.0000  4 Si 2.68
Si 0.0000 0.3786 0.8786  1 Si 2.31
Si 0.0000 0.1214 0.3786  1 Si 2.31
Sc 0.5000 0.3261 0.1739  6 Si 2.77-2.82
Sc 0.5000 0.8261 0.3261  6 Si 2.77-2.82
Sc 0.5000 0.1739 0.6739  6 Si 2.77-2.82